A plane-wave DFT calculation with GGA-PBE was carried out for crystalline HoBi2RhO6 at its relaxed geometry.

Unit cell a=5.591 b=6.065 c=8.142 alpha=90.00 beta=91.07 gamma=90.00
Fractional coordinates of all 20 atoms:
O 0.624 0.049 0.263
O 0.876 0.549 0.237
O 0.818 0.791 0.932
O 0.124 0.451 0.763
O 0.179 0.171 0.463
O 0.679 0.329 0.963
O 0.376 0.951 0.737
O 0.321 0.671 0.037
O 0.182 0.209 0.068
O 0.821 0.829 0.537
O 0.682 0.291 0.568
O 0.318 0.709 0.432
Ho 0.500 0.000 0.000
Ho 0.000 0.500 0.500
Rh 0.500 0.000 0.500
Rh 0.000 0.500 0.000
Bi 0.014 0.945 0.266
Bi 0.986 0.055 0.734
Bi 0.514 0.555 0.766
Bi 0.486 0.445 0.234

Output
Spin magnetization (μB/f.u.): 0.00
Uncorrected formation energy (eV/atom): -1.631
Density (g/cm3): 9.41
Symmetry: P2_1/c (14)